## 1
First-principles (PBE) data for Ba8NaHg2 after structural relaxation, as listed in the Alexandria database.

Cell lengths 6.180, 8.480, 11.387 Å; angles 106.43, 105.73, 90.05 degrees
Space group P1 (No. 1)
Symmetry-distinct sites (fractional):
Ba1 0.000 0.000 0.000 x1
Ba2 0.059 0.598 0.118 x1
Ba3 0.250 0.082 0.499 x1
Ba4 0.375 0.808 0.748 x1
Ba5 0.447 0.336 0.894 x1
Ba6 0.626 0.196 0.251 x1
Ba7 0.696 0.754 0.391 x1
Ba8 0.837 0.446 0.673 x1
Na1 0.212 0.482 0.423 x1
Hg1 0.531 0.782 0.063 x1
Hg2 0.847 0.046 0.692 x1

Summary:
Total magnetization ... 0.0 μB/f.u.

---

## 2
First-principles (PBE) data for Ba8NaHg2 after structural relaxation, as listed in the Alexandria database.

Cell lengths 10.930, 16.003, 6.855 Å; angles 90.00, 104.52, 90.00 degrees
Space group C2/m (No. 12)
Symmetry-distinct sites (fractional):
Ba1 0.000 0.249 0.000 x4
Ba2 0.120 0.500 0.796 x4
Ba3 0.197 0.134 0.594 x8
Na1 0.000 0.000 0.000 x2
Hg1 0.000 0.316 0.500 x4

Summary:
Total magnetization ... 0.0 μB/f.u.

---

It is 2 that is the least stable of them.

---

## 1
First-principles (PBE) data for BaNa4Hg after structural relaxation, as listed in the Alexandria database.

Cell lengths 9.497, 9.497, 9.497 Å; angles 90.00, 90.00, 90.00 degrees
Space group F-43m (No. 216)
Symmetry-distinct sites (fractional):
Ba1 0.000 0.000 0.000 x4
Na1 0.123 0.123 0.377 x16
Hg1 0.250 0.250 0.750 x4

Summary:
Total magnetization ... 1.2 μB/f.u.

---

## 2
First-principles (PBE) data for BaNa4Hg after structural relaxation, as listed in the Alexandria database.

Cell lengths 5.843, 6.821, 6.919 Å; angles 111.55, 90.12, 115.27 degrees
Space group P-1 (No. 2)
Symmetry-distinct sites (fractional):
Ba1 0.000 0.000 0.000 x1
Na1 0.278 0.556 0.673 x2
Na2 0.379 0.760 0.258 x2
Hg1 0.000 0.000 0.500 x1

Summary:
Total magnetization ... 0.0 μB/f.u.

---

It is 1 that is the least stable of them.

---

## 1
First-principles (PBE) data for Ba2NaHg3 after structural relaxation, as listed in the Alexandria database.

Cell lengths 5.8009, 5.8009, 14.1107 Å; angles 90.00, 90.00, 120.00 degrees
Space group P-3m1 (No. 164)
Symmetry-distinct sites (fractional):
Ba1 0.0000 0.0000 0.0000 x1
Ba2 0.0000 0.0000 0.5000 x1
Ba3 0.3333 0.6667 0.1781 x2
Na1 0.3333 0.6667 0.6681 x2
Hg1 0.0000 0.0000 0.2539 x2
Hg2 0.3333 0.6667 0.4256 x2
Hg3 0.3333 0.6667 0.9184 x2

Summary:
Total magnetization ... 0.0 μB/f.u.

---

## 2
First-principles (PBE) data for Ba2NaHg3 after structural relaxation, as listed in the Alexandria database.

Cell lengths 8.572, 10.623, 18.302 Å; angles 90.00, 90.00, 90.00 degrees
Space group Fmmm (No. 69)
Symmetry-distinct sites (fractional):
Ba1 0.247 0.000 0.000 x8
Ba2 0.250 0.250 0.250 x8
Na1 0.000 0.000 0.334 x8
Hg1 0.000 0.000 0.168 x8
Hg2 0.000 0.249 0.416 x16

Summary:
Total magnetization ... 0.0 μB/f.u.

---

It is 2 that is the least stable of them.

---

## 1
First-principles (PBE) data for Ba2NaHg6 after structural relaxation, as listed in the Alexandria database.

Cell lengths 9.295, 9.428, 6.450 Å; angles 90.00, 96.14, 90.00 degrees
Space group C2/m (No. 12)
Symmetry-distinct sites (fractional):
Ba1 0.164 0.000 0.310 x4
Na1 0.000 0.500 0.000 x2
Hg1 0.000 0.337 0.500 x4
Hg2 0.194 0.163 0.812 x8

Summary:
Total magnetization ... 0.0 μB/f.u.

---

## 2
First-principles (PBE) data for Ba2NaHg6 after structural relaxation, as listed in the Alexandria database.

Cell lengths 12.429, 7.166, 6.275 Å; angles 90.00, 90.07, 90.00 degrees
Space group C2/m (No. 12)
Symmetry-distinct sites (fractional):
Ba1 0.167 0.000 0.169 x4
Na1 0.000 0.500 0.000 x2
Hg1 0.091 0.229 0.675 x8
Hg2 0.182 0.500 0.325 x4

Summary:
Total magnetization ... 0.0 μB/f.u.

---

It is 2 that is the least stable of them.